(1)
## AlZnMoO4 (GGA+U)

Data for a geometry-optimized AlZnMoO4 structure.

abc: 5.3168 5.3168 6.3938
angles: 90.00 90.00 114.10
With the nearest neighbours (Å) after each atom.
Positions (direct):
Al: 0.1496 0.8504 0.7500  4 O 1.75-1.83
Al: 0.8504 0.1496 0.2500  4 O 1.75-1.83
Zn: 0.1660 0.8340 0.2500  4 O 1.93-2.13
Zn: 0.8340 0.1660 0.7500  4 O 1.93-2.13
Mo: 0.5000 0.5000 0.0000  6 O 2.15-2.20
Mo: 0.5000 0.5000 0.5000  6 O 2.15-2.20
O: 0.2232 0.2539 0.2500  1 Al 1.83
O: 0.2539 0.2232 0.7500  1 Al 1.83
O: 0.2595 0.7405 0.5225  1 Al 1.75, 1 Zn 1.93
O: 0.2595 0.7405 0.9775  1 Al 1.75, 1 Zn 1.93
O: 0.7405 0.2595 0.0225  1 Al 1.75, 1 Zn 1.93
O: 0.7405 0.2595 0.4775  1 Al 1.75, 1 Zn 1.93
O: 0.7461 0.7768 0.2500  1 Al 1.83
O: 0.7768 0.7461 0.7500  1 Al 1.83

Output
As for the volume: 165.0 Å³ per cell.


(2)
## Al2ZnMoO (GGA+U)

Data for a geometry-optimized Al2ZnMoO structure.

abc: 4.0950 4.0950 4.4256
angles: 90.00 90.00 90.00
With the nearest neighbours (Å) after each atom.
Positions (direct):
Al: 0.0000 0.5000 0.0000  2 O 2.05
Al: 0.5000 0.0000 0.0000  2 O 2.05
Zn: 0.0000 0.0000 0.5000  4 Mo 2.90, 8 Al 3.01
Mo: 0.5000 0.5000 0.5000  2 O 2.21
O: 0.5000 0.5000 0.0000  4 Al 2.05, 2 Mo 2.21

Output
As for the volume: 74.2 Å³ per cell. As for the density of states at the Fermi level: 1.634 states/eV/cell.


It is found that the uncorrected energy values, taken in the order of the records, are -6.585, -4.327 eV/atom.
It is found that the density values, taken in the order of the records, are 5.08, 5.18 g cm⁻³.